A plane-wave DFT calculation with GGA-PBE was carried out for an optimized crystal structure of ZnPbSe2O6.

Values from the calculation:
Theoretical density   5.84 g cm⁻³
SG   No. 148
Size of the total moment   0.0 μB/f.u.
Volume   149.6 Å³/cell
Uncorrected energy   -50.5 eV/f.u.
Formation energy without anion corrections   -0.88 eV per atom

Cell: 6.6125 6.6125 6.6125 Å, 48.68 48.68 48.68°
Closest atoms and distances in Å follow each position.
Fractional positions:
Zn  0.0000  0.0000  0.0000  6 O 2.18
Pb  0.5000  0.5000  0.5000  6 O 2.66
Se  0.2264  0.2264  0.2264  3 O 1.74
Se  0.7736  0.7736  0.7736  3 O 1.74
O  0.0161  0.7686  0.4246  1 Se 1.74
O  0.2314  0.5754  0.9839  1 Se 1.74
O  0.4246  0.0161  0.7686  1 Se 1.74
O  0.5754  0.9839  0.2314  1 Se 1.74
O  0.7686  0.4246  0.0161  1 Se 1.74
O  0.9839  0.2314  0.5754  1 Se 1.74